# Gd2MgPt

A relaxed structure of Gd2MgPt (PBE, the Alexandria database).

Values from the calculation:
SG	P4/mmm (123)
E above lowest polymorph	0.000	eV per atom
DFT formation energy	-0.65	eV/atom
DOS at the Fermi energy	0.8409	states/eV per atom

Lattice parameters (Å, degrees): 3.650 3.650 7.415 90.00 90.00 90.00
Each line ends with the local moment (μB).
Sites, in units of the cell vectors:
Mg1 0.500 0.500 0.500  0.00
Gd1 0.000 0.000 0.779  7.05
Gd2 0.000 0.000 0.221  7.05
Pt1 0.500 0.500 0.000  -0.01